Here is an optimized crystal structure of TiGaTcIr from Alexandria via LeMat-Bulk. Energies are from PBE.

a b c (Å): 3.1303 4.2657 4.3619
angles (deg): 90.00 90.00 90.00
Last column: nearest neighbours and their distance in Å.
Sites, in units of the cell vectors:
Ti (0.0000, 0.0000, 0.0000)  4 Tc 2.65, 4 Ir 2.68
Ga (0.0000, 0.5000, 0.5000)  4 Ir 2.65, 4 Tc 2.68
Tc (0.5000, 0.5000, 0.0000)  4 Ti 2.65, 4 Ga 2.68
Ir (0.5000, 0.0000, 0.5000)  4 Ga 2.65, 4 Ti 2.68

**Magnetization**: 0.0000 μB per atom
**Calculated density**: 11.63 g cm⁻³
**Formation enthalpy at 0 K**: -13.3 kcal/mol of atoms


Here is an optimized crystal structure of LiHf2MgRe from Alexandria via LeMat-Bulk. Energies are from PBE.

a b c (Å): 5.0407 5.0407 3.7684
angles (deg): 90.00 90.00 90.00
Last column: nearest neighbours and their distance in Å.
Sites, in units of the cell vectors:
Li (0.0000, 0.0000, 0.0000)  2 Mg 1.88
Hf (0.0000, 0.5000, 0.5000)  2 Mg 2.52
Hf (0.5000, 0.0000, 0.5000)  2 Mg 2.52
Mg (0.0000, 0.0000, 0.5000)  2 Li 1.88
Re (0.5000, 0.5000, 0.0000)  8 Hf 3.15

**Magnetization**: 0.0000 μB per atom
**Calculated density**: 9.96 g cm⁻³
**Formation enthalpy at 0 K**: 30.9 kcal/mol of atoms